# 1
The following is a DFT calculation (PBE-GGA) of a relaxed structure of DyY2Sc.

Computed properties:
SG: P4/mmm, No. 123
Energy of formation from the pure elements, meV per atom: 48
DFT total energy, eV per cell: -23.67
Energy above the lowest structure with this stoichiometry, meV/atom: 23
Size of the total moment, Bohr magnetons per cell: 0.00

```
DyY2Sc
1.0
-3.512 -0.584 -3.423
3.466 -0.645 -3.447
-0.039 -4.854 0.869
Y Dy Sc
2 1 1
Direct
0.000 0.000 0.500
0.000 0.500 0.000
0.500 0.500 0.500
0.500 0.000 0.000
```



# 2
The following is a DFT calculation (PBE-GGA) of a relaxed structure of Dy2YSc7.

Computed properties:
SG: P-1, No. 2
Energy of formation from the pure elements, meV per atom: 61
DFT total energy, eV per cell: -59.38
Energy above the lowest structure with this stoichiometry, meV/atom: 0
Size of the total moment, Bohr magnetons per cell: 0.00

```
Dy2YSc7
1.0
5.612 -0.026 -1.345
1.352 8.326 -2.760
-3.336 -0.617 6.644
Sc Y Dy
7 1 2
Direct
0.896 0.305 0.399
0.500 0.500 0.000
0.201 0.404 0.202
0.298 0.103 0.800
0.799 0.596 0.798
0.104 0.695 0.601
0.702 0.897 0.200
0.000 0.000 0.000
0.603 0.207 0.604
0.397 0.793 0.396
```



# 3
The following is a DFT calculation (PBE-GGA) of a relaxed structure of Dy3Y2Sc8.

Computed properties:
SG: C2/m, No. 12
Energy of formation from the pure elements, meV per atom: 248
DFT total energy, eV per cell: -74.16
Size of the total moment, Bohr magnetons per cell: 0.00

```
Dy3Y2Sc8
1.0
6.623 0.000 -0.754
0.000 8.660 0.000
-3.687 -4.330 6.909
Sc Dy Y
8 3 2
Direct
0.995 0.195 0.389
0.881 0.564 0.129
0.412 0.564 0.757
0.412 0.193 0.757
0.588 0.807 0.243
0.119 0.436 0.871
0.005 0.805 0.611
0.588 0.436 0.243
0.500 0.000 0.000
0.000 0.183 0.000
0.000 0.817 0.000
0.553 0.239 0.478
0.447 0.761 0.522
```



# 4
The following is a DFT calculation (PBE-GGA) of a relaxed structure of Dy12YSc7.

Computed properties:
SG: R-3, No. 148
Energy of formation from the pure elements, meV per atom: 172
DFT total energy, eV per cell: -102.57
Energy above the lowest structure with this stoichiometry, meV/atom: 0
Size of the total moment, Bohr magnetons per cell: 4.86

```
Dy12YSc7
1.0
-7.679 0.820 -4.697
-1.164 -6.416 6.260
1.606 7.832 4.218
Dy Sc Y
12 7 1
Direct
0.592 0.934 0.703
0.326 0.619 0.801
0.199 0.674 0.381
0.674 0.381 0.199
0.066 0.297 0.408
0.934 0.703 0.592
0.381 0.199 0.674
0.619 0.801 0.326
0.408 0.066 0.297
0.297 0.408 0.066
0.703 0.592 0.934
0.801 0.326 0.619
0.995 0.895 0.316
0.684 0.005 0.105
0.005 0.105 0.684
0.500 0.500 0.500
0.895 0.316 0.995
0.105 0.684 0.005
0.316 0.995 0.895
0.000 0.000 0.000
```